A geometry-optimized ReNiSe2 structure, computed with GGA-PBE.

Its calculated total energy is -47.0 eV per cell. The polymorph energy (0 for the lowest one) comes out at 36.2 kJ per mole of atoms. The calculation puts the energy relative to the elements, uncorrected at 0.42 eV/atom.

The space group is Cmm2 (No. 35) and the conventional cell measures 3.1103, 4.7700 and 9.6669 Å, with angles of 90.00, 90.00 and 90.00 degrees. The distinct sites, in fractional coordinates, are Re at (0.0000, 0.0000, 0.0000), Ni at (0.0000, 0.5000, 0.2110), Se at (0.0000, 0.0000, 0.4019) and Se at (0.0000, 0.5000, 0.7910).

---

A geometry-optimized ReNi4Se structure, computed with GGA-PBE.

Its calculated total energy is -145.9 eV per cell. The calculation puts the energy relative to the elements, uncorrected at 0.43 eV/atom.

The space group is F-43m (No. 216) and the conventional cell measures 6.7093, 6.7093 and 6.7093 Å, with angles of 90.00, 90.00 and 90.00 degrees. The distinct sites, in fractional coordinates, are Re at (0.0000, 0.0000, 0.0000), Ni at (0.1258, 0.1258, 0.6258) and Se at (0.2500, 0.2500, 0.2500).

---

A geometry-optimized ReNi2Se2 structure, computed with GGA-PBE.

Its calculated total energy is -57.5 eV per cell. The polymorph energy (0 for the lowest one) comes out at 0.0 kJ per mole of atoms. The calculation puts the energy relative to the elements, uncorrected at 0.45 eV/atom.

The space group is P4/mbm (No. 127) and the conventional cell measures 6.6967, 6.6967 and 3.1869 Å, with angles of 90.00, 90.00 and 90.00 degrees. The distinct sites, in fractional coordinates, are Re at (0.0000, 0.0000, 0.0000), Ni at (0.1270, 0.3730, 0.0000) and Se at (0.1830, 0.6830, 0.5000).

---

Question: Among the records above, which one has the highest energy relative to the elements, uncorrected?
Answer: ReNi2Se2

---

Question: Which value of calculated total energy does entry 2 give?
Answer: -145.9 eV per cell